Computed, not measured: a geometry-optimized Li3V2P5O18 structure at the PBE with a Hubbard U level of DFT.

Lattice parameters (Å, degrees): 6.3547 9.5968 11.0400 99.91 92.49 90.49
Each line ends with the local moment (μB).
Fractional coordinates of all 56 atoms:
O 0.6745 0.0610 0.1429  -0.02
O 0.0315 0.9821 0.3130  -0.03
O 0.7191 0.3597 0.2223  -0.01
O 0.1071 0.4403 0.0937  0.00
P 0.7655 0.9868 0.6108  0.01
O 0.1770 0.2859 0.2550  0.00
P 0.2345 0.0132 0.3892  0.01
O 0.6663 0.0855 0.9034  -0.01
Li 0.8855 0.8011 0.3234  0.00
O 0.9888 0.3038 0.8231  -0.01
Li 0.1145 0.1989 0.6766  0.00
O 0.3765 0.1594 0.7595  0.00
O 0.5876 0.9381 0.6975  0.00
O 0.7382 0.5799 0.3946  -0.01
O 0.3337 0.9145 0.0966  -0.01
O 0.2809 0.6403 0.7777  -0.01
O 0.5142 0.3664 0.4167  -0.03
Li 0.0105 0.8985 0.1352  0.00
O 0.6578 0.4151 0.7411  -0.01
O 0.2184 0.1625 0.4825  -0.02
O 0.0140 0.8097 0.9484  -0.01
P 0.8336 0.7129 0.8833  0.01
O 0.8230 0.7141 0.7450  0.00
O 0.7816 0.8375 0.5175  -0.02
O 0.2618 0.4201 0.6054  -0.01
P 0.8050 0.4005 0.8478  0.00
O 0.6235 0.8406 0.2405  0.00
O 0.3083 0.6351 0.0345  -0.06
V 0.3242 0.7744 0.9401  1.06
O 0.6293 0.7634 0.9410  0.00
O 0.4124 0.0619 0.3025  0.00
O 0.3422 0.5849 0.2589  -0.01
P 0.4803 0.0389 0.8079  0.00
Li 0.4770 0.7411 0.3641  0.00
O 0.0112 0.6962 0.1769  -0.01
P 0.1664 0.2871 0.1167  0.01
O 0.9174 0.3640 0.4307  -0.03
O 0.3255 0.9390 0.8571  -0.02
O 0.0826 0.6360 0.5693  -0.03
O 0.3143 0.8978 0.4536  -0.04
Li 0.5230 0.2589 0.6359  0.00
P 0.1950 0.5995 0.1522  0.00
O 0.3707 0.2366 0.0590  0.00
O 0.8929 0.5597 0.9063  0.00
V 0.2150 0.3368 0.4270  1.07
O 0.6917 0.3649 0.9655  -0.06
O 0.4858 0.6336 0.5833  -0.03
V 0.6758 0.2256 0.0599  1.06
P 0.5197 0.9611 0.1921  0.00
O 0.9685 0.0179 0.6870  -0.03
P 0.7182 0.4145 0.3593  0.00
P 0.2818 0.5855 0.6407  0.00
Li 0.9895 0.1015 0.8648  0.00
V 0.7850 0.6632 0.5730  1.07
O 0.9860 0.1903 0.0516  -0.01
O 0.6857 0.1022 0.5464  -0.04

Calculated values
Magnetic moment, μB per formula unit: 1.9
Electronic total energy, eV/atom: -7.041